Record 1
Compound: ZrAl2NF
Source: the Alexandria database
Functional: PBE
Structure: relaxed

The space group is P4/mmm (No. 123) and the conventional cell measures 3.657, 3.657 and 5.548 Å, with angles of 90.00, 90.00 and 90.00 degrees. Symmetry generates all atoms from Zr at (0.000, 0.000, 0.000), Al at (0.000, 0.500, 0.500), N at (0.500, 0.500, 0.500) and F at (0.500, 0.500, 0.000).

The magnetic moment is 0.000 μB per cell. The value obtained for the volume is 14.84 Å³/atom. The calculation puts the uncorrected formation energy at -0.4892 eV/atom.

=====

Record 2
Compound: ZrAlN2F
Source: the Alexandria database
Functional: PBE
Structure: relaxed

The space group is P4/mmm (No. 123) and the conventional cell measures 3.862, 3.862 and 3.458 Å, with angles of 90.00, 90.00 and 90.00 degrees. Symmetry generates all atoms from Zr at (0.000, 0.000, 0.000), Al at (0.500, 0.500, 0.500), N at (0.000, 0.500, 0.500) and F at (0.500, 0.500, 0.000).

The magnetic moment is 0.000 μB per cell. The value obtained for the volume is 10.32 Å³/atom. Its distance to the lowest polymorph of the same formula is 0 meV per atom. The calculation puts the uncorrected formation energy at -1.2888 eV/atom.

=====

Record 3
Compound: ZrAlN2F
Source: the Alexandria database
Functional: PBE
Structure: relaxed

The space group is P4/mmm (No. 123) and the conventional cell measures 4.278, 4.278 and 4.110 Å, with angles of 90.00, 90.00 and 90.00 degrees. Symmetry generates all atoms from Zr at (0.000, 0.000, 0.000), Al at (0.500, 0.500, 0.500), N at (0.000, 0.500, 0.000) and F at (0.000, 0.000, 0.500).

The magnetic moment is 0.000 μB per cell. The value obtained for the volume is 15.04 Å³/atom. Its distance to the lowest polymorph of the same formula is 771 meV per atom. The calculation puts the uncorrected formation energy at -0.5179 eV/atom.

=====

Record 4
Compound: Na2AlF5
Source: the Alexandria database
Functional: PBE
Structure: relaxed

The space group is Cmcm (No. 63) and the conventional cell measures 3.760, 11.424 and 10.516 Å, with angles of 90.00, 90.00 and 90.00 degrees. Symmetry generates all atoms from Na at (0.000, 0.136, 0.066), Al at (0.000, 0.159, 0.750), F at (0.000, 0.049, 0.628), F at (0.000, 0.271, 0.624) and F at (0.000, 0.330, 0.250).

The magnetic moment is 0.319 μB per cell. The value obtained for the volume is 14.12 Å³/atom. The calculation puts the uncorrected formation energy at -3.1969 eV/atom.

=====

Record 5
Compound: NaAl2F
Source: the Alexandria database
Functional: PBE
Structure: relaxed

The space group is Fm-3m (No. 225) and the conventional cell measures 6.845, 6.845 and 6.845 Å, with angles of 90.00, 90.00 and 90.00 degrees. Symmetry generates all atoms from Na at (0.000, 0.000, 0.000), Al at (0.250, 0.250, 0.250) and F at (0.000, 0.000, 0.500).

The magnetic moment is 0.000 μB per cell. The value obtained for the volume is 20.04 Å³/atom. Its distance to the lowest polymorph of the same formula is 424 meV per atom. The calculation puts the uncorrected formation energy at -0.0793 eV/atom.

=====

Record 6
Compound: Na5Al3F14
Source: the Alexandria database
Functional: PBE
Structure: relaxed

The space group is P4/mnc (No. 128) and the conventional cell measures 7.111, 7.111 and 10.548 Å, with angles of 90.00, 90.00 and 90.00 degrees. Symmetry generates all atoms from Na at (0.000, 0.000, 0.000), Na at (0.225, 0.275, 0.250), Al at (0.000, 0.000, 0.500), Al at (0.000, 0.500, 0.000), F at (0.000, 0.000, 0.328), F at (0.035, 0.680, 0.120) and F at (0.064, 0.248, 0.500).

The magnetic moment is 0.000 μB per cell. The value obtained for the volume is 12.12 Å³/atom. The calculation puts the uncorrected formation energy at -3.2479 eV/atom.

=====

Record 7
Compound: NaAlF4
Source: the Alexandria database
Functional: PBE
Structure: relaxed

The space group is Cmmm (No. 65) and the conventional cell measures 6.832, 7.243 and 2.968 Å, with angles of 90.00, 90.00 and 90.00 degrees. Symmetry generates all atoms from Na at (0.000, 0.000, 0.000), Al at (0.000, 0.500, 0.500), F at (0.000, 0.333, 0.000) and F at (0.243, 0.000, 0.500).

The magnetic moment is 0.000 μB per cell. The value obtained for the volume is 12.24 Å³/atom. The calculation puts the uncorrected formation energy at -3.2771 eV/atom.

=====

Record 8
Compound: Na2AlF
Source: the Alexandria database
Functional: PBE
Structure: relaxed

The space group is Fm-3m (No. 225) and the conventional cell measures 7.125, 7.125 and 7.125 Å, with angles of 90.00, 90.00 and 90.00 degrees. Symmetry generates all atoms from Na at (0.250, 0.250, 0.250), Al at (0.000, 0.000, 0.000) and F at (0.000, 0.000, 0.500).

The magnetic moment is 0.000 μB per cell. The value obtained for the volume is 22.61 Å³/atom. Its distance to the lowest polymorph of the same formula is 499 meV per atom. The calculation puts the uncorrected formation energy at -0.4519 eV/atom.

=====

Record 9
Compound: Na2Al2F7
Source: the Alexandria database
Functional: PBE
Structure: relaxed

The space group is C2/m (No. 12) and the conventional cell measures 7.161, 10.265 and 4.724 Å, with angles of 90.00, 112.23 and 90.00 degrees. Symmetry generates all atoms from Na at (0.000, 0.179, 0.000), Al at (0.184, 0.500, 0.319), F at (0.000, 0.500, 0.500), F at (0.122, 0.000, 0.316) and F at (0.237, 0.346, 0.212).

The magnetic moment is 1.961 μB per cell. The value obtained for the volume is 14.61 Å³/atom. The calculation puts the uncorrected formation energy at -3.0014 eV/atom.

=====

Record 10
Compound: NaAlF5
Source: the Alexandria database
Functional: PBE
Structure: relaxed

The space group is C2/c (No. 15) and the conventional cell measures 8.939, 6.536 and 7.384 Å, with angles of 90.00, 114.56 and 90.00 degrees. Symmetry generates all atoms from Na at (0.000, 0.027, 0.250), Al at (0.000, 0.500, 0.000), F at (0.000, 0.464, 0.250), F at (0.009, 0.227, 0.980) and F at (0.219, 0.486, 0.612).

The magnetic moment is 4.095 μB per cell. The value obtained for the volume is 14.01 Å³/atom. The calculation puts the uncorrected formation energy at -2.7899 eV/atom.

=====

Record 11
Compound: NaAlF4
Source: the Alexandria database
Functional: PBE
Structure: relaxed

The space group is P4/mmm (No. 123) and the conventional cell measures 3.616, 3.616 and 6.155 Å, with angles of 90.00, 90.00 and 90.00 degrees. Symmetry generates all atoms from Na at (0.000, 0.000, 0.000), Al at (0.500, 0.500, 0.500), F at (0.000, 0.500, 0.500) and F at (0.500, 0.500, 0.208).

The magnetic moment is 0.000 μB per cell. The value obtained for the volume is 13.41 Å³/atom. The calculation puts the uncorrected formation energy at -3.2291 eV/atom.

=====

Record 12
Compound: NaAl2F
Source: the Alexandria database
Functional: PBE
Structure: relaxed

The space group is I-42d (No. 122) and the conventional cell measures 4.934, 4.934 and 15.165 Å, with angles of 90.00, 90.00 and 90.00 degrees. Symmetry generates all atoms from Na at (0.000, 0.000, 0.000), Al at (0.070, 0.250, 0.625) and F at (0.000, 0.000, 0.500).

The magnetic moment is 0.000 μB per cell. The value obtained for the volume is 23.07 Å³/atom. Its distance to the lowest polymorph of the same formula is 0 meV per atom. The calculation puts the uncorrected formation energy at -0.5029 eV/atom.

=====

Record 13
Compound: Na2AlF
Source: the Alexandria database
Functional: PBE
Structure: relaxed

The space group is I-42d (No. 122) and the conventional cell measures 6.709, 6.709 and 8.338 Å, with angles of 90.00, 90.00 and 90.00 degrees. Symmetry generates all atoms from Na at (0.127, 0.250, 0.125), Al at (0.000, 0.000, 0.500) and F at (0.000, 0.000, 0.000).

The magnetic moment is 0.000 μB per cell. The value obtained for the volume is 23.46 Å³/atom. Its distance to the lowest polymorph of the same formula is 0 meV per atom. The calculation puts the uncorrected formation energy at -0.9505 eV/atom.

=====

Record 14
Compound: Na3AlF8
Source: the Alexandria database
Functional: PBE
Structure: relaxed

The space group is I4/mmm (No. 139) and the conventional cell measures 5.283, 5.283 and 10.571 Å, with angles of 90.00, 90.00 and 90.00 degrees. Symmetry generates all atoms from Na at (0.000, 0.000, 0.000), Na at (0.000, 0.500, 0.250), Al at (0.000, 0.000, 0.500) and F at (0.218, 0.218, 0.390).

The magnetic moment is 4.070 μB per cell. The value obtained for the volume is 12.29 Å³/atom. The calculation puts the uncorrected formation energy at -2.3896 eV/atom.

=====

Record 15
Compound: Na5Al2F12
Source: the Alexandria database
Functional: PBE
Structure: relaxed

The space group is C2/m (No. 12) and the conventional cell measures 12.711, 5.702 and 7.279 Å, with angles of 90.00, 106.69 and 90.00 degrees. Symmetry generates all atoms from Na at (0.000, 0.000, 0.000), Na at (0.201, 0.500, 0.867), Na at (0.203, 0.500, 0.339), Al at (0.000, 0.248, 0.500), F at (0.001, 0.500, 0.669), F at (0.002, 0.000, 0.668), F at (0.145, 0.256, 0.569) and F at (0.150, 0.250, 0.079).

The magnetic moment is 2.012 μB per cell. The value obtained for the volume is 13.30 Å³/atom. The calculation puts the uncorrected formation energy at -2.9248 eV/atom.

=====

Record 16
Compound: NaAlF4
Source: the Alexandria database
Functional: PBE
Structure: relaxed

The space group is Cmcm (No. 63) and the conventional cell measures 3.669, 15.185 and 5.333 Å, with angles of 90.00, 90.00 and 90.00 degrees. Symmetry generates all atoms from Na at (0.000, 0.195, 0.250), Al at (0.000, 0.415, 0.250), F at (0.000, 0.080, 0.750), F at (0.000, 0.331, 0.014) and F at (0.000, 0.500, 0.000).

The magnetic moment is 0.000 μB per cell. The value obtained for the volume is 12.38 Å³/atom. The calculation puts the uncorrected formation energy at -3.3344 eV/atom.

=====

Record 17
Compound: NaAl2F8
Source: the Alexandria database
Functional: PBE
Structure: relaxed

The space group is C2/m (No. 12) and the conventional cell measures 10.235, 5.638 and 5.173 Å, with angles of 90.00, 100.45 and 90.00 degrees. Symmetry generates all atoms from Na at (0.000, 0.000, 0.000), Al at (0.241, 0.500, 0.484), F at (0.130, 0.500, 0.713), F at (0.149, 0.000, 0.744) and F at (0.156, 0.237, 0.319).

The magnetic moment is 2.090 μB per cell. The value obtained for the volume is 13.34 Å³/atom. The calculation puts the uncorrected formation energy at -2.9590 eV/atom.

=====

Record 18
Compound: NaAl2F7
Source: the Alexandria database
Functional: PBE
Structure: relaxed

The space group is Cmmm (No. 65) and the conventional cell measures 6.068, 9.978 and 3.602 Å, with angles of 90.00, 90.00 and 90.00 degrees. Symmetry generates all atoms from Na at (0.000, 0.000, 0.000), Al at (0.000, 0.311, 0.500), F at (0.000, 0.303, 0.000), F at (0.000, 0.500, 0.500) and F at (0.191, 0.144, 0.500).

The magnetic moment is 0.000 μB per cell. The value obtained for the volume is 10.90 Å³/atom. The calculation puts the uncorrected formation energy at -3.2519 eV/atom.

=====

Record 19
Compound: Na2NdAlF8
Source: the Alexandria database
Functional: PBE
Structure: relaxed

The space group is P2/m (No. 10) and the conventional cell measures 4.805, 6.778 and 5.246 Å, with angles of 90.00, 90.47 and 90.00 degrees. Symmetry generates all atoms from Na at (0.000, 0.224, 0.000), Nd at (0.500, 0.500, 0.500), Al at (0.500, 0.000, 0.500), F at (0.145, 0.500, 0.223), F at (0.225, 0.000, 0.268) and F at (0.333, 0.206, 0.684).

The magnetic moment is 0.136 μB per cell. The value obtained for the volume is 14.24 Å³/atom. The calculation puts the uncorrected formation energy at -3.4225 eV/atom.